The following is a DFT calculation (PBE) of TmTh2Be after structural relaxation. Values from VASP.

Cell and atoms, written as Quantum ESPRESSO input:
```
&SYSTEM
  ibrav = 0, nat = 12, ntyp = 3
/
ATOMIC_SPECIES
Tm 168.93 Tm.upf
Th 232.04 Th.upf
Be 9.01 Be.upf
CELL_PARAMETERS angstrom
3.395 0.000 0.000
-1.698 2.941 0.000
0.000 0.000 35.037
ATOMIC_POSITIONS angstrom
Tm 0.000 0.000 0.000
Tm 0.000 1.960 23.358
Tm 1.698 0.980 11.679
Th 0.000 0.000 14.608
Th 0.000 0.000 20.429
Th 0.000 1.960 2.929
Th 0.000 1.960 8.750
Th 1.698 0.980 26.287
Th 1.698 0.980 32.108
Be 0.000 0.000 17.518
Be 0.000 1.960 5.840
Be 1.698 0.980 29.197
```

Output
Calculated formation energy ... 0.729 eV/atom
E above lowest polymorph ... 0.573 eV per atom
D(E_F) ... 1.164 states/eV per atom
Space group ... R-3m

---

The following is a DFT calculation (PBE) of NbSb2TeAs after structural relaxation. Values from VASP.

Cell and atoms, written as Quantum ESPRESSO input:
```
&SYSTEM
  ibrav = 0, nat = 5, ntyp = 4
/
ATOMIC_SPECIES
Nb 92.91 Nb.upf
Sb 121.76 Sb.upf
Te 127.60 Te.upf
As 74.92 As.upf
CELL_PARAMETERS angstrom
5.159 0.000 0.000
0.000 5.159 0.000
0.000 0.000 5.342
ATOMIC_POSITIONS angstrom
Nb 0.000 0.000 0.000
Sb 0.000 2.579 2.671
Sb 2.579 0.000 2.671
Te 2.579 2.579 0.000
As 2.579 2.579 2.671
```

Output
Formation energy without anion corrections ... 1.12 eV per atom
E above lowest polymorph ... 0.529 eV per atom
D(E_F) ... 1.559 states/eV per atom
Space group ... P4/mmm

---

The following is a DFT calculation (PBE) of CsNaNiBr4 after structural relaxation. Values from VASP.

Cell and atoms, written as Quantum ESPRESSO input:
```
&SYSTEM
  ibrav = 0, nat = 14, ntyp = 4
/
ATOMIC_SPECIES
Cs 132.91 Cs.upf
Na 22.99 Na.upf
Ni 58.69 Ni.upf
Br 79.90 Br.upf
CELL_PARAMETERS angstrom
6.578 0.000 0.000
0.000 7.728 0.000
-3.017 0.000 9.644
ATOMIC_POSITIONS angstrom
Cs 0.248 1.932 4.111
Cs 3.313 5.796 5.533
Na -0.710 1.932 9.519
Na 4.271 5.796 0.125
Ni 1.248 5.796 1.816
Ni 2.313 1.932 7.828
Br -2.394 5.796 9.181
Br 0.009 5.796 3.854
Br 0.764 0.095 7.582
Br 0.764 3.769 7.582
Br 2.797 3.959 2.062
Br 2.797 7.632 2.062
Br 3.552 1.932 5.790
Br 5.954 1.932 0.463
```

Output
Formation energy without anion corrections ... -1.06 eV per atom
D(E_F) ... 0.095 states/eV per atom
Space group ... P2_1/m

---

The following is a DFT calculation (PBE) of Cs2BeHgBr6 after structural relaxation. Values from VASP.

Cell and atoms, written as Quantum ESPRESSO input:
```
&SYSTEM
  ibrav = 0, nat = 10, ntyp = 4
/
ATOMIC_SPECIES
Cs 132.91 Cs.upf
Be 9.01 Be.upf
Hg 200.59 Hg.upf
Br 79.90 Br.upf
CELL_PARAMETERS angstrom
-3.923 3.923 5.724
3.923 -3.923 5.724
3.923 3.923 -5.724
ATOMIC_POSITIONS angstrom
Cs 3.923 0.000 2.862
Cs 0.000 3.923 2.862
Be 0.000 0.000 0.000
Hg 0.000 0.000 5.724
Br 1.652 1.652 0.000
Br 2.270 -2.270 5.724
Br 0.000 0.000 3.212
Br 0.000 0.000 8.236
Br -2.270 2.270 5.724
Br 2.270 2.270 5.724
```

Output
Formation energy without anion corrections ... -1.06 eV per atom
D(E_F) ... 0.000 states/eV per atom
Space group ... I4/mmm